## Pr12Zn6Os (PBE-GGA)

Data for crystalline Pr12Zn6Os at its relaxed geometry.

- Formation energy: -0.071 eV/atom
- Space-group type: No. 148

a = 8.3302 Å, b = 8.3302 Å, c = 8.3302 Å
α = 93.44°, β = 93.44°, γ = 93.44°
Last column: nearest neighbours and their distance in Å.
Sites, in units of the cell vectors:
Zn (0.3407, 0.1467, 0.7387)  8 Pr 3.10-3.34
Pr (0.0321, 0.9140, 0.6765)  1 Os 2.78
Zn (0.1467, 0.7387, 0.3407)  8 Pr 3.10-3.34
Zn (0.6593, 0.8533, 0.2613)  8 Pr 3.10-3.34
Zn (0.2613, 0.6593, 0.8533)  8 Pr 3.10-3.34
Pr (0.5684, 0.4554, 0.8051)  4 Zn 3.10-3.32
Pr (0.0860, 0.3235, 0.9679)  1 Os 2.78
Zn (0.8533, 0.2613, 0.6593)  8 Pr 3.10-3.34
Pr (0.3235, 0.9679, 0.0860)  1 Os 2.78
Pr (0.1949, 0.4316, 0.5446)  4 Zn 3.10-3.32
Pr (0.8051, 0.5684, 0.4554)  4 Zn 3.10-3.32
Pr (0.6765, 0.0321, 0.9140)  1 Os 2.78
Pr (0.4554, 0.8051, 0.5684)  4 Zn 3.10-3.32
Os (0.0000, 0.0000, 0.0000)  6 Pr 2.78
Pr (0.5446, 0.1949, 0.4316)  4 Zn 3.10-3.32
Pr (0.4316, 0.5446, 0.1949)  4 Zn 3.10-3.32
Pr (0.9679, 0.0860, 0.3235)  1 Os 2.78
Pr (0.9140, 0.6765, 0.0321)  1 Os 2.78
Zn (0.7387, 0.3407, 0.1467)  8 Pr 3.10-3.34

***

## K2TlTe (PBE-GGA)

Data for crystalline K2TlTe at its relaxed geometry.

- Formation energy without anion corrections: -464 meV per atom
- Space-group type: No. 225

a = 5.9931 Å, b = 5.9931 Å, c = 5.9931 Å
α = 60.00°, β = 60.00°, γ = 60.00°
Last column: nearest neighbours and their distance in Å.
Sites, in units of the cell vectors:
Tl (0.5000, 0.5000, 0.5000)  8 K 3.67
K (0.7500, 0.7500, 0.7500)  4 Tl 3.67, 4 Te 3.67
K (0.2500, 0.2500, 0.2500)  4 Tl 3.67, 4 Te 3.67
Te (0.0000, 0.0000, 0.0000)  8 K 3.67

***

## In3CuBr4 (PBE-GGA)

Data for crystalline In3CuBr4 at its relaxed geometry.

- Formation energy without anion corrections: -518 meV per atom
- Space-group type: No. 31

a = 6.5483 Å, b = 9.7026 Å, c = 9.1127 Å
α = 90.00°, β = 90.00°, γ = 90.00°
Last column: nearest neighbours and their distance in Å.
Sites, in units of the cell vectors:
Br (0.0861, 0.3214, 0.7635)  1 Cu 2.50
In (0.0597, 0.6502, 0.8093)  3 Br 3.00-3.22
In (0.5597, 0.3498, 0.3093)  3 Br 3.00-3.22
Br (0.1089, 0.7520, 0.5000)  1 Cu 2.52
Br (0.5650, 0.0380, 0.5000)  1 Cu 2.45
Br (0.0650, 0.9620, 0.0000)  1 Cu 2.45
In (0.5599, 0.9143, 0.0000)  5 Br 3.25-3.34
Br (0.6089, 0.2480, 0.0000)  1 Cu 2.52
Br (0.0861, 0.3214, 0.2365)  1 Cu 2.50
In (0.5597, 0.3498, 0.6907)  3 Br 3.00-3.22
In (0.0599, 0.0857, 0.5000)  5 Br 3.25-3.34
Br (0.5861, 0.6786, 0.2635)  1 Cu 2.50
Cu (0.4899, 0.7908, 0.5000)  4 Br 2.45-2.52
Br (0.5861, 0.6786, 0.7365)  1 Cu 2.50
In (0.0597, 0.6502, 0.1907)  3 Br 3.00-3.22
Cu (0.9899, 0.2092, 0.0000)  4 Br 2.45-2.52

***

## LiMg2Ge2Pt5 (PBE-GGA)

Data for crystalline LiMg2Ge2Pt5 at its relaxed geometry.

- Formation energy: -0.540 eV/atom
- Space-group type: No. 127

a = 3.7786 Å, b = 9.2887 Å, c = 9.2887 Å
α = 90.00°, β = 90.00°, γ = 90.00°
Last column: nearest neighbours and their distance in Å.
Sites, in units of the cell vectors:
Ge (0.0000, 0.8661, 0.3661)  6 Pt 2.52-2.58, 3 Mg 2.60-2.82
Pt (0.5000, 0.8018, 0.9306)  2 Ge 2.52, 2 Li 2.72, 2 Pt 2.76
Pt (0.5000, 0.5694, 0.6982)  2 Ge 2.52, 2 Li 2.72, 2 Pt 2.76
Pt (0.5000, 0.0694, 0.8018)  2 Ge 2.52, 2 Li 2.72, 2 Pt 2.76
Pt (0.5000, 0.3018, 0.5694)  2 Ge 2.52, 2 Li 2.72, 2 Pt 2.76
Pt (0.5000, 0.4306, 0.3018)  2 Ge 2.52, 2 Li 2.72, 2 Pt 2.76
Li (0.0000, 0.5000, 0.5000)  8 Pt 2.72
Mg (0.0000, 0.8319, 0.6681)  3 Ge 2.60-2.82, 2 Pt 2.91
Pt (0.5000, 0.6982, 0.4306)  2 Ge 2.52, 2 Li 2.72, 2 Pt 2.76
Pt (0.5000, 0.5000, 0.0000)  4 Ge 2.58, 4 Pt 2.88
Ge (0.0000, 0.1339, 0.6339)  6 Pt 2.52-2.58, 3 Mg 2.60-2.82
Mg (0.0000, 0.6681, 0.1681)  3 Ge 2.60-2.82, 2 Pt 2.91
Pt (0.5000, 0.0000, 0.5000)  4 Ge 2.58, 4 Pt 2.88
Pt (0.5000, 0.1982, 0.0694)  2 Ge 2.52, 2 Li 2.72, 2 Pt 2.76
Pt (0.5000, 0.9306, 0.1982)  2 Ge 2.52, 2 Li 2.72, 2 Pt 2.76
Ge (0.0000, 0.6339, 0.8661)  6 Pt 2.52-2.58, 3 Mg 2.60-2.82
Li (0.0000, 0.0000, 0.0000)  8 Pt 2.72
Mg (0.0000, 0.1681, 0.3319)  3 Ge 2.60-2.82, 2 Pt 2.91
Ge (0.0000, 0.3661, 0.1339)  6 Pt 2.52-2.58, 3 Mg 2.60-2.82
Mg (0.0000, 0.3319, 0.8319)  3 Ge 2.60-2.82, 2 Pt 2.91

***

## LiCl5 (PBE-GGA)

Data for crystalline LiCl5 at its relaxed geometry.

- Formation energy without anion corrections: -324 meV per atom
- Space-group type: No. 8

a = 5.8081 Å, b = 5.8081 Å, c = 9.4074 Å
α = 75.49°, β = 75.49°, γ = 39.50°
Last column: nearest neighbours and their distance in Å.
Sites, in units of the cell vectors:
Cl (0.9280, 0.9280, 0.5560)  1 Cl 2.00
Li (0.3817, 0.3817, 0.1157)  4 Cl 2.35-2.52
Cl (0.7599, 0.7599, 0.7061)  1 Cl 2.00
Cl (0.9731, 0.9731, 0.9944)  2 Li 2.35
Cl (0.1888, 0.1888, 0.3081)  1 Li 2.39
Cl (0.6018, 0.6018, 0.1531)  1 Li 2.52, 2 Cl 2.76

***

## SrTcAs2 (PBE-GGA)

Data for crystalline SrTcAs2 at its relaxed geometry.

- Formation energy: 0.188 eV/atom
- Space-group type: No. 65

a = 4.8311 Å, b = 4.8311 Å, c = 3.6330 Å
α = 90.03°, β = 90.03°, γ = 78.98°
Last column: nearest neighbours and their distance in Å.
Sites, in units of the cell vectors:
Sr (0.5000, 0.0000, 0.5000)  8 As 3.02, 2 Tc 3.07
As (0.5000, 0.5000, 0.0000)  4 Tc 3.02, 4 Sr 3.02, 2 As 3.07
Tc (0.0000, 0.5000, 0.5000)  8 As 3.02, 2 Sr 3.07
As (0.0000, 0.0000, 0.0000)  4 Sr 3.02, 4 Tc 3.02, 2 As 3.07